Entry 1:
NdSm3Ho2Tm6 | PBE | optimized geometry

Geometry as CIF:
```
data_NdSm3Ho2Tm6
_chemical_formula_sum 'Nd2 Sm6 Ho4 Tm12'
_cell_length_a 6.147
_cell_length_b 10.641
_cell_length_c 11.683
_cell_angle_alpha 90.00
_cell_angle_beta 100.07
_cell_angle_gamma 90.00
_space_group_name_H-M_alt 'C 1 2/m 1'
_space_group_IT_number 12
loop_
_space_group_symop_operation_xyz
'x,y,z'
'-x,-y,-z'
'-x,y,-z'
'x,-y,z'
'x+1/2,y+1/2,z'
'-x+1/2,-y+1/2,-z'
'-x+1/2,y+1/2,-z'
'x+1/2,-y+1/2,z'
loop_
_atom_site_label
_atom_site_type_symbol
_atom_site_fract_x
_atom_site_fract_y
_atom_site_fract_z
_atom_site_occupancy
Nd1 Nd 0.000 0.000 0.000 1
Sm1 Sm 0.000 0.167 0.500 1
Sm2 Sm 0.000 0.500 0.500 1
Ho1 Ho 0.000 0.333 0.000 1
Tm1 Tm 0.249 0.500 0.249 1
Tm2 Tm 0.250 0.167 0.249 1
```

Output
As for the final energy: -109.33 eV per cell.

=====

Entry 2:
YBeC | PBE | optimized geometry

Geometry as CIF:
```
data_YBeC
_chemical_formula_sum 'Y4 Be4 C4'
_cell_length_a 5.330
_cell_length_b 3.292
_cell_length_c 9.627
_cell_angle_alpha 90.00
_cell_angle_beta 90.00
_cell_angle_gamma 90.00
_space_group_name_H-M_alt 'P n m a'
_space_group_IT_number 62
loop_
_space_group_symop_operation_xyz
'x,y,z'
'-x,-y,-z'
'-x+1/2,-y,z+1/2'
'x+1/2,y,-z+1/2'
'x+1/2,-y+1/2,-z+1/2'
'-x+1/2,y+1/2,z+1/2'
'-x,y+1/2,-z'
'x,-y+1/2,z'
loop_
_atom_site_label
_atom_site_type_symbol
_atom_site_fract_x
_atom_site_fract_y
_atom_site_fract_z
_atom_site_occupancy
Y1 Y 0.110 0.250 0.141 1
Be1 Be 0.077 0.750 0.429 1
C1 C 0.222 0.250 0.477 1
```

Output
The offset from the most stable computed form comes out at 137 meV per atom. As for the final energy: -79.19 eV per cell.

=====

Entry 3:
BaSr3As | PBE | optimized geometry

Geometry as CIF:
```
data_BaSr3As
_chemical_formula_sum 'Ba1 Sr3 As1'
_cell_length_a 6.181
_cell_length_b 6.181
_cell_length_c 6.181
_cell_angle_alpha 90.00
_cell_angle_beta 90.00
_cell_angle_gamma 90.00
_space_group_name_H-M_alt 'P m -3 m'
_space_group_IT_number 221
_space_group_name_Hall '-P 4 2 3'
loop_
_atom_site_label
_atom_site_type_symbol
_atom_site_fract_x
_atom_site_fract_y
_atom_site_fract_z
_atom_site_occupancy
Ba1 Ba 0.000 0.000 0.000 1
Sr1 Sr 0.000 0.000 0.500 1
As1 As 0.500 0.500 0.500 1
```

Output
The offset from the most stable computed form comes out at 1448 meV per atom. As for the final energy: -6.71 eV per cell.

=====

Entry 4:
Ho2Al6Rh | PBE | optimized geometry

Geometry as CIF:
```
data_Ho2Al6Rh
_chemical_formula_sum 'Ho2 Al6 Rh1'
_cell_length_a 5.7646
_cell_length_b 5.7646
_cell_length_c 5.8867
_cell_angle_alpha 90.00
_cell_angle_beta 90.00
_cell_angle_gamma 120.00
_space_group_name_H-M_alt 'P -3 m 1'
_space_group_IT_number 164
_space_group_name_Hall '-P 3 2"'
loop_
_atom_site_label
_atom_site_type_symbol
_atom_site_fract_x
_atom_site_fract_y
_atom_site_fract_z
_atom_site_occupancy
Ho1 Ho 0.3333 0.6667 0.3647 1
Al1 Al 0.1718 0.3436 0.8175 1
Rh1 Rh 0.0000 0.0000 0.5000 1
```

Output
As for the final energy: -43.95 eV per cell.

=====

Entry 5:
TbFe2Si2 | PBE | optimized geometry

Geometry as CIF:
```
data_TbFe2Si2
_chemical_formula_sum 'Tb2 Fe4 Si4'
_cell_length_a 3.964
_cell_length_b 3.964
_cell_length_c 9.536
_cell_angle_alpha 90.00
_cell_angle_beta 90.00
_cell_angle_gamma 90.00
_space_group_name_H-M_alt 'I 4/m m m'
_space_group_IT_number 139
_space_group_name_Hall '-I 4 2'
loop_
_atom_site_label
_atom_site_type_symbol
_atom_site_fract_x
_atom_site_fract_y
_atom_site_fract_z
_atom_site_occupancy
Tb1 Tb 0.000 0.000 0.000 1
Fe1 Fe 0.000 0.500 0.250 1
Si1 Si 0.000 0.000 0.366 1
```

Output
The value obtained for the uncorrected formation energy is -3.38 eV per formula unit. As for the final energy: -71.57 eV per cell.

=====

Entry 6:
Tb2CeSm6Y | PBE | optimized geometry

Geometry as CIF:
```
data_Tb2CeSm6Y
_chemical_formula_sum 'Tb4 Ce2 Sm12 Y2'
_cell_length_a 11.381
_cell_length_b 6.933
_cell_length_c 8.885
_cell_angle_alpha 90.00
_cell_angle_beta 104.74
_cell_angle_gamma 90.00
_space_group_name_H-M_alt 'C 1 2/m 1'
_space_group_IT_number 12
loop_
_space_group_symop_operation_xyz
'x,y,z'
'-x,-y,-z'
'-x,y,-z'
'x,-y,z'
'x+1/2,y+1/2,z'
'-x+1/2,-y+1/2,-z'
'-x+1/2,y+1/2,-z'
'x+1/2,-y+1/2,z'
loop_
_atom_site_label
_atom_site_type_symbol
_atom_site_fract_x
_atom_site_fract_y
_atom_site_fract_z
_atom_site_occupancy
Tb1 Tb 0.088 0.000 0.167 1
Ce1 Ce 0.000 0.500 0.000 1
Sm1 Sm 0.124 0.500 0.415 1
Sm2 Sm 0.174 0.237 0.799 1
Y1 Y 0.000 0.000 0.500 1
```

Output
As for the final energy: -95.00 eV per cell.

=====

Entry 7:
Cu2ClF | PBE | optimized geometry

Geometry as CIF:
```
data_Cu2ClF
_chemical_formula_sum 'Cu2 Cl1 F1'
_cell_length_a 3.739
_cell_length_b 3.741
_cell_length_c 5.410
_cell_angle_alpha 85.89
_cell_angle_beta 85.71
_cell_angle_gamma 62.31
_space_group_name_H-M_alt 'P 1'
_space_group_IT_number 1
loop_
_space_group_symop_operation_xyz
'x,y,z'
loop_
_atom_site_label
_atom_site_type_symbol
_atom_site_fract_x
_atom_site_fract_y
_atom_site_fract_z
_atom_site_occupancy
Cu1 Cu 0.000 0.000 0.000 1
Cu2 Cu 0.277 0.269 0.617 1
Cl1 Cl 0.980 0.972 0.433 1
F1 F 0.453 0.451 0.919 1
```

Output
The offset from the most stable computed form comes out at 0 meV per atom. The value obtained for the uncorrected formation energy is -2.48 eV per formula unit. As for the final energy: -14.39 eV per cell.

=====

Entry 8:
Tb3Pm12Nd | PBE | optimized geometry

Geometry as CIF:
```
data_Tb3Pm12Nd
_chemical_formula_sum 'Tb3 Pm12 Nd1'
_cell_length_a 5.141
_cell_length_b 5.141
_cell_length_c 20.535
_cell_angle_alpha 90.00
_cell_angle_beta 90.00
_cell_angle_gamma 90.00
_space_group_name_H-M_alt 'P 4/m m m'
_space_group_IT_number 123
_space_group_name_Hall '-P 4 2'
loop_
_atom_site_label
_atom_site_type_symbol
_atom_site_fract_x
_atom_site_fract_y
_atom_site_fract_z
_atom_site_occupancy
Tb1 Tb 0.000 0.000 0.000 1
Tb2 Tb 0.000 0.000 0.249 1
Pm1 Pm 0.000 0.500 0.125 1
Pm2 Pm 0.000 0.500 0.374 1
Pm3 Pm 0.500 0.500 0.000 1
Pm4 Pm 0.500 0.500 0.249 1
Pm5 Pm 0.500 0.500 0.500 1
Nd1 Nd 0.000 0.000 0.500 1
```

Output
As for the final energy: -75.44 eV per cell.

=====

Entry 9:
LaGa3Rh3 | PBE | optimized geometry

Geometry as CIF:
```
data_LaGa3Rh3
_chemical_formula_sum 'La6 Ga18 Rh18'
_cell_length_a 6.7252
_cell_length_b 6.7252
_cell_length_c 19.2508
_cell_angle_alpha 90.00
_cell_angle_beta 90.00
_cell_angle_gamma 120.00
_space_group_name_H-M_alt 'R -3'
_space_group_IT_number 148
_space_group_name_Hall '-R 3'
loop_
_atom_site_label
_atom_site_type_symbol
_atom_site_fract_x
_atom_site_fract_y
_atom_site_fract_z
_atom_site_occupancy
La1 La 0.0000 0.0000 0.1599 1
Ga1 Ga 0.0323 0.4181 0.3712 1
Rh1 Rh 0.0067 0.2455 0.5715 1
```

Output
The offset from the most stable computed form comes out at 0 meV per atom. As for the final energy: -239.67 eV per cell.

=====

Entry 10:
BaNaIn2H8 | PBE | optimized geometry

Geometry as CIF:
```
data_BaNaIn2H8
_chemical_formula_sum 'Ba1 Na1 In2 H8'
_cell_length_a 4.8975
_cell_length_b 4.8975
_cell_length_c 8.8210
_cell_angle_alpha 90.00
_cell_angle_beta 90.00
_cell_angle_gamma 120.00
_space_group_name_H-M_alt 'P -3'
_space_group_IT_number 147
loop_
_space_group_symop_operation_xyz
'x,y,z'
'-x,-y,-z'
'-y,x-y,z'
'y,-x+y,-z'
'-x+y,-x,z'
'x-y,x,-z'
loop_
_atom_site_label
_atom_site_type_symbol
_atom_site_fract_x
_atom_site_fract_y
_atom_site_fract_z
_atom_site_occupancy
Ba1 Ba 0.0000 0.0000 0.0000 1
Na1 Na 0.0000 0.0000 0.5000 1
In1 In 0.3333 0.6667 0.7325 1
H1 H 0.0028 0.7152 0.2819 1
H2 H 0.3333 0.6667 0.9541 1
```

Output
As for the final energy: -35.30 eV per cell.

=====

Entry 11:
HgTe2Cl2 | PBE | optimized geometry

Geometry as CIF:
```
data_HgTe2Cl2
_chemical_formula_sum 'Hg2 Te4 Cl4'
_cell_length_a 9.149
_cell_length_b 9.149
_cell_length_c 3.268
_cell_angle_alpha 90.00
_cell_angle_beta 90.00
_cell_angle_gamma 90.00
_space_group_name_H-M_alt 'P 4/m b m'
_space_group_IT_number 127
_space_group_name_Hall '-P 4 2ab'
loop_
_atom_site_label
_atom_site_type_symbol
_atom_site_fract_x
_atom_site_fract_y
_atom_site_fract_z
_atom_site_occupancy
Hg1 Hg 0.000 0.000 0.000 1
Te1 Te 0.112 0.388 0.000 1
Cl1 Cl 0.196 0.696 0.500 1
```

Output
The value obtained for the uncorrected formation energy is 0.41 eV per formula unit. As for the final energy: -19.73 eV per cell.

=====

Entry 12:
DyY2Pb | PBE | optimized geometry

Geometry as CIF:
```
data_DyY2Pb
_chemical_formula_sum 'Dy3 Y6 Pb3'
_cell_length_a 5.2051
_cell_length_b 5.2051
_cell_length_c 17.2305
_cell_angle_alpha 90.00
_cell_angle_beta 90.00
_cell_angle_gamma 120.00
_space_group_name_H-M_alt 'R 3 m'
_space_group_IT_number 160
_space_group_name_Hall 'R 3 -2"'
loop_
_atom_site_label
_atom_site_type_symbol
_atom_site_fract_x
_atom_site_fract_y
_atom_site_fract_z
_atom_site_occupancy
Dy1 Dy 0.0000 0.0000 0.0000 1
Y1 Y 0.0000 0.0000 0.2179 1
Y2 Y 0.0000 0.0000 0.4368 1
Pb1 Pb 0.0000 0.0000 0.8050 1
```

Output
The offset from the most stable computed form comes out at 297 meV per atom. As for the final energy: -63.52 eV per cell.

=====

- Among the records above, which one has the lowest final energy?
  LaGa3Rh3

=====

- What is the final energy in the tenth record?
  -35.30 eV per cell

=====

- Among the records above, which one has the lowest final energy?
  LaGa3Rh3

=====

- What is the final energy in the first record?
  -109.33 eV per cell